[1]
DFT (PBE) results for a relaxed AgIrRu2 crystal.

Results
* DFT formation energy: 0.47 eV/atom
* total magnetic moment: 1.4 Bohr magnetons per cell

The structure in POSCAR format:
```
AgIrRu2
1.0
-2.474 -0.757 -0.813
2.124 -0.561 -1.589
1.104 -8.366 4.431
Ag Ir Ru
1 1 2
Direct
0.000 0.000 0.499
0.500 0.500 0.763
0.000 0.000 0.003
0.500 0.500 0.235
```

[2]
DFT (PBE) results for a relaxed AgIrRu2 crystal.

Results
* DFT formation energy: 0.67 eV/atom
* total magnetic moment: 2.0 Bohr magnetons per cell

The structure in POSCAR format:
```
AgIrRu2
1.0
4.420 0.000 0.000
2.210 3.828 0.000
2.210 1.276 3.609
Ag Ir Ru
1 1 2
Direct
0.500 0.500 0.500
0.750 0.750 0.750
0.000 0.000 0.000
0.250 0.250 0.250
```

[3]
DFT (PBE) results for a relaxed AgIr2Ru crystal.

Results
* DFT formation energy: 0.34 eV/atom
* total magnetic moment: 0.0 Bohr magnetons per cell

The structure in POSCAR format:
```
AgIr2Ru
1.0
2.744 0.000 0.000
0.000 3.870 0.000
0.000 0.000 5.699
Ag Ir Ru
1 2 1
Direct
0.500 0.500 0.750
0.000 0.000 0.017
0.500 0.500 0.255
0.000 0.000 0.478
```

[4]
DFT (PBE) results for a relaxed AgIrRu2 crystal.

Results
* DFT formation energy: 0.27 eV/atom
* total magnetic moment: 0.0 Bohr magnetons per cell

The structure in POSCAR format:
```
AgIrRu2
1.0
-8.708 1.408 3.152
-8.328 -1.118 4.140
-7.461 1.054 5.565
Ag Ir Ru
1 1 2
Direct
0.250 0.250 0.250
0.750 0.750 0.750
0.005 0.005 0.005
0.495 0.495 0.495
```

[5]
DFT (PBE) results for a relaxed Ag2IrRu2 crystal.

Results
* DFT formation energy: 0.77 eV/atom
* total magnetic moment: 0.0 Bohr magnetons per cell

The structure in POSCAR format:
```
Ag2IrRu2
1.0
6.308 0.000 0.000
0.000 6.308 0.000
0.000 0.000 4.392
Ru Ir Ag
4 2 4
Direct
0.371 0.871 0.000
0.871 0.629 0.000
0.629 0.129 0.000
0.129 0.371 0.000
0.000 0.000 0.000
0.500 0.500 0.000
0.173 0.673 0.500
0.673 0.827 0.500
0.827 0.327 0.500
0.327 0.173 0.500
```

[6]
DFT (PBE) results for a relaxed AgIrRu2Se crystal.

Results
* raw formation energy: 1.508 eV/atom
* total magnetic moment: 1.5 Bohr magnetons per cell

The structure in POSCAR format:
```
AgIrRu2Se
1.0
4.684 0.000 0.000
0.000 5.076 0.000
0.000 0.000 4.684
Ru Ir Se Ag
2 1 1 1
Direct
0.000 0.000 0.500
0.500 0.000 0.000
0.000 0.000 0.000
0.500 0.500 0.500
0.000 0.500 0.000
```

Copy entry 3 word for word.
DFT (PBE) results for a relaxed AgIr2Ru crystal.

Results
* DFT formation energy: 0.34 eV/atom
* total magnetic moment: 0.0 Bohr magnetons per cell

The structure in POSCAR format:
```
AgIr2Ru
1.0
2.744 0.000 0.000
0.000 3.870 0.000
0.000 0.000 5.699
Ag Ir Ru
1 2 1
Direct
0.500 0.500 0.750
0.000 0.000 0.017
0.500 0.500 0.255
0.000 0.000 0.478
```

What did the second record say?
DFT (PBE) results for a relaxed AgIrRu2 crystal.

Results
* DFT formation energy: 0.67 eV/atom
* total magnetic moment: 2.0 Bohr magnetons per cell

The structure in POSCAR format:
```
AgIrRu2
1.0
4.420 0.000 0.000
2.210 3.828 0.000
2.210 1.276 3.609
Ag Ir Ru
1 1 2
Direct
0.500 0.500 0.500
0.750 0.750 0.750
0.000 0.000 0.000
0.250 0.250 0.250
```

Please write out number 5 again, unchanged.
DFT (PBE) results for a relaxed Ag2IrRu2 crystal.

Results
* DFT formation energy: 0.77 eV/atom
* total magnetic moment: 0.0 Bohr magnetons per cell

The structure in POSCAR format:
```
Ag2IrRu2
1.0
6.308 0.000 0.000
0.000 6.308 0.000
0.000 0.000 4.392
Ru Ir Ag
4 2 4
Direct
0.371 0.871 0.000
0.871 0.629 0.000
0.629 0.129 0.000
0.129 0.371 0.000
0.000 0.000 0.000
0.500 0.500 0.000
0.173 0.673 0.500
0.673 0.827 0.500
0.827 0.327 0.500
0.327 0.173 0.500
```